First-principles (meta-GGA SCAN) data for a crystal of KBaAu2 relaxed with PBEsol, as listed in Alexandria via LeMat-Bulk.

It has space group Fm-3m (No. 225), with a = 7.770 Å, b = 7.770 Å, c = 7.770 Å, α = 90.00°, β = 90.00° and γ = 90.00°. The inequivalent atoms are K at (0.000, 0.000, 0.000), Ba at (0.000, 0.000, 0.500) and Au at (0.250, 0.250, 0.250).

The formation energy is -0.638 eV per atom. The density comes out at 8.07 g/cm3. The offset from the most stable computed form is 27 meV/atom.

First-principles (meta-GGA SCAN) data for a crystal of Ni2IrPb2 relaxed with PBEsol, as listed in Alexandria via LeMat-Bulk.

It has space group I4/mmm (No. 139), with a = 4.929 Å, b = 4.929 Å, c = 7.340 Å, α = 90.00°, β = 90.00° and γ = 90.00°. The inequivalent atoms are Ni at (0.000, 0.000, 0.151), Ir at (0.000, 0.000, 0.500) and Pb at (0.000, 0.500, 0.250).

The formation energy is 0.761 eV per atom. The density comes out at 13.48 g/cm3. The offset from the most stable computed form is 222 meV/atom.

First-principles (meta-GGA SCAN) data for a crystal of Tl2SbPb relaxed with PBEsol, as listed in Alexandria via LeMat-Bulk.

It has space group I-4m2 (No. 119), with a = 4.948 Å, b = 4.948 Å, c = 9.306 Å, α = 90.00°, β = 90.00° and γ = 90.00°. The inequivalent atoms are Tl at (0.000, 0.000, 0.000), Tl at (0.000, 0.500, 0.250), Sb at (0.000, 0.500, 0.750) and Pb at (0.000, 0.000, 0.500).

The density comes out at 10.75 g/cm3. The offset from the most stable computed form is 25 meV/atom. For the uncorrected formation energy, the calculation gives 30.6 meV/atom.

First-principles (meta-GGA SCAN) data for a crystal of Mg2CrWO6 relaxed with PBEsol, as listed in Alexandria via LeMat-Bulk.

It has space group P2_1/c (No. 14), with a = 5.091 Å, b = 5.278 Å, c = 9.002 Å, α = 90.00°, β = 124.19° and γ = 90.00°. The inequivalent atoms are Mg at (0.237, 0.055, 0.244), Cr at (0.000, 0.000, 0.500), W at (0.500, 0.000, 0.000), O at (0.122, 0.183, 0.940), O at (0.251, 0.688, 0.928) and O at (0.377, 0.066, 0.752).

The density comes out at 6.32 g/cm3. The offset from the most stable computed form is 21 meV/atom. For the uncorrected formation energy, the calculation gives -2537.8 meV/atom.

First-principles (meta-GGA SCAN) data for a crystal of TlSbF4 relaxed with PBEsol, as listed in Alexandria via LeMat-Bulk.

It has space group P2_1/c (No. 14), with a = 7.447 Å, b = 6.701 Å, c = 8.289 Å, α = 90.00°, β = 99.60° and γ = 90.00°. The inequivalent atoms are Tl at (0.117, 0.246, 0.450), Sb at (0.384, 0.714, 0.302), F at (0.127, 0.625, 0.322), F at (0.250, 0.536, 0.717), F at (0.316, 0.609, 0.074) and F at (0.410, 0.131, 0.834).

The density comes out at 6.55 g/cm3. For the uncorrected formation energy, the calculation gives -2265.2 meV/atom.

First-principles (meta-GGA SCAN) data for a crystal of Al3Tc4 relaxed with PBEsol, as listed in Alexandria via LeMat-Bulk.

It has space group I4/mmm (No. 139), with a = 2.994 Å, b = 2.994 Å, c = 21.555 Å, α = 90.00°, β = 90.00° and γ = 90.00°. The inequivalent atoms are Al at (0.000, 0.000, 0.000), Al at (0.000, 0.000, 0.288), Tc at (0.000, 0.000, 0.145) and Tc at (0.000, 0.000, 0.427).

The formation energy is -0.501 eV per atom. The density comes out at 8.13 g/cm3.